Crystalline Na2UGaN4 at its relaxed geometry, computed with PBE.

abc: 5.235 3.458 6.015
angles: 90.00 106.54 90.00
Space group P2/m (No. 10)
Unique sites:
Na (0.000, 0.000, 0.000) [1 per cell]
Na (0.500, 0.500, 0.000) [1 per cell]
U (0.000, 0.500, 0.500) [1 per cell]
Ga (0.500, 0.000, 0.500) [1 per cell]
N (0.230, 0.000, 0.695) [2 per cell]
N (0.258, 0.500, 0.302) [2 per cell]

**Raw formation energy**: -0.447 eV/atom
**Final energy**: -53.831 eV for the cell shown
**M_tot**: 0.00 μB per atom